# 1
# Tb6PrCd GGA-PBE relaxed
data_Tb6PrCd
_cell_length_a 9.3421
_cell_length_b 9.3421
_cell_length_c 10.0521
_cell_angle_alpha 90.00
_cell_angle_beta 90.00
_cell_angle_gamma 120.00
_symmetry_space_group_name_H-M 'R -3'
_symmetry_Int_Tables_number 148
_symmetry_space_group_name_Hall '-R 3'
loop_
_atom_site_label
_atom_site_fract_x
_atom_site_fract_y
_atom_site_fract_z
Tb1 0.0243 0.2562 0.2159
Pr1 0.0000 0.0000 0.5000
Cd1 0.0000 0.0000 0.0000
# ΔH_f (0 K) = 0.048 eV/atom

# 2
# Tb7Pr12Cd GGA-PBE relaxed
data_Tb7Pr12Cd
_cell_length_a 15.1459
_cell_length_b 15.1459
_cell_length_c 10.3649
_cell_angle_alpha 90.00
_cell_angle_beta 90.00
_cell_angle_gamma 120.00
_symmetry_space_group_name_H-M 'R -3'
_symmetry_Int_Tables_number 148
_symmetry_space_group_name_Hall '-R 3'
loop_
_atom_site_label
_atom_site_fract_x
_atom_site_fract_y
_atom_site_fract_z
Tb1 0.0000 0.0000 0.0000
Tb2 0.0657 0.2398 0.4273
Pr1 0.0417 0.1897 0.7502
Pr2 0.0457 0.2512 0.0738
Cd1 0.0000 0.0000 0.5000
# energy above the most stable polymorph in this dataset = 0.00 kcal/mol of atoms
# ΔH_f (0 K) = 0.107 eV/atom